Entry 1:
A plane-wave DFT calculation with PBE was carried out for a geometry-optimized LaTiGe2Rh structure.

a = 4.8358 Å, b = 5.1751 Å, c = 4.8358 Å
α = 90.00°, β = 90.00°, γ = 90.00°
With the nearest neighbours (Å) after each atom.
Sites, in units of the cell vectors:
La1 0.0000 0.5000 0.0000  2 Rh 2.59
Rh1 0.0000 0.0000 0.0000  4 Ge 2.42, 2 La 2.59
Ti1 0.5000 0.5000 0.5000  4 La 3.42, 8 Ge 3.54
Ge1 0.5000 0.0000 0.0000  2 Rh 2.42
Ge2 0.0000 0.0000 0.5000  2 Rh 2.42

Properties
The value obtained for the total energy is -0.2096 hartree per atom. Its space-group type is P4/mmm. The value obtained for the density of states at the Fermi level is 1.558 states/eV/atom. The formation energy is 0.18 eV/atom.

Entry 2:
A plane-wave DFT calculation with PBE was carried out for a geometry-optimized La2TmGe3Rh4 structure.

a = 4.2230 Å, b = 4.2230 Å, c = 11.1777 Å
α = 90.00°, β = 90.00°, γ = 90.00°
With the nearest neighbours (Å) after each atom.
Sites, in units of the cell vectors:
Rh1 0.0000 0.5000 0.3449  3 Ge 2.51-2.73, 2 Tm 2.73
Tm1 0.5000 0.5000 0.5000  4 Rh 2.73, 4 Ge 2.99
Ge1 0.0000 0.0000 0.5000  4 Rh 2.73, 4 Tm 2.99
Ge2 0.5000 0.0000 0.8795  5 Rh 2.50-2.51
Rh2 0.5000 0.5000 0.0000  4 Ge 2.50
La1 0.5000 0.0000 0.2345  8 Rh 3.23-3.37, 4 Ge 3.25
Rh3 0.0000 0.0000 0.0000  4 Ge 2.50
Rh4 0.5000 0.0000 0.6551  3 Ge 2.51-2.73, 2 Tm 2.73
La2 0.0000 0.5000 0.7655  8 Rh 3.23-3.37, 4 Ge 3.25
Ge3 0.0000 0.5000 0.1205  5 Rh 2.50-2.51

Properties
The value obtained for the total energy is -0.2455 hartree per atom. Its space-group type is P-4m2. The value obtained for the density of states at the Fermi level is 0.728 states/eV/atom. The formation energy is -0.92 eV/atom.

Entry 3:
A plane-wave DFT calculation with PBE was carried out for a geometry-optimized La2UGeRh6 structure.

a = 5.6863 Å, b = 8.2986 Å, c = 6.6456 Å
α = 51.65°, β = 64.67°, γ = 90.07°
With the nearest neighbours (Å) after each atom.
Sites, in units of the cell vectors:
U1 0.0000 0.0000 0.0000  6 Rh 2.50-2.53
Rh1 0.2462 0.7483 0.0110  1 U 2.50, 1 Ge 2.54, 2 Rh 2.76-2.78
La1 0.7621 0.2940 0.4765  7 Rh 3.09-3.24
Rh2 0.2487 0.0989 0.4974  1 Ge 2.52, 1 U 2.53, 4 Rh 2.76-2.78
Rh3 0.7400 0.7457 0.0160  1 U 2.50, 1 Ge 2.53, 2 Rh 2.77-2.78
Rh4 0.7538 0.2517 0.9890  1 U 2.50, 1 Ge 2.54, 2 Rh 2.76-2.78
Rh5 0.2600 0.2543 0.9840  1 U 2.50, 1 Ge 2.53, 2 Rh 2.77-2.78
Ge1 0.5000 0.5000 0.0000  6 Rh 2.52-2.54
Rh6 0.7513 0.9011 0.5026  1 Ge 2.52, 1 U 2.53, 4 Rh 2.76-2.78
La2 0.2379 0.7060 0.5235  7 Rh 3.09-3.24

Properties
The value obtained for the total energy is -0.2778 hartree per atom. Its space-group type is P-1. The value obtained for the density of states at the Fermi level is 0.551 states/eV/atom. The formation energy is -0.57 eV/atom.

Entry 4:
A plane-wave DFT calculation with PBE was carried out for a geometry-optimized La2YGe3Rh4 structure.

a = 4.2248 Å, b = 4.2248 Å, c = 11.2845 Å
α = 90.00°, β = 90.00°, γ = 90.00°
With the nearest neighbours (Å) after each atom.
Sites, in units of the cell vectors:
La1 0.0000 0.5000 0.7674  8 Rh 3.22-3.37, 4 Ge 3.25
Rh1 0.0000 0.5000 0.3402  3 Ge 2.50-2.78, 2 Y 2.78
La2 0.5000 0.0000 0.2326  8 Rh 3.22-3.37, 4 Ge 3.25
Rh2 0.5000 0.0000 0.6598  3 Ge 2.50-2.78, 2 Y 2.78
Y1 0.5000 0.5000 0.5000  4 Rh 2.78, 4 Ge 2.99
Ge1 0.5000 0.0000 0.8810  5 Rh 2.50
Rh3 0.5000 0.5000 0.0000  4 Ge 2.50
Ge2 0.0000 0.5000 0.1190  5 Rh 2.50
Ge3 0.0000 0.0000 0.5000  4 Rh 2.78, 4 Y 2.99
Rh4 0.0000 0.0000 0.0000  4 Ge 2.50

Properties
The value obtained for the total energy is -0.2520 hartree per atom. Its space-group type is P-4m2. The value obtained for the density of states at the Fermi level is 0.696 states/eV/atom. The formation energy is -0.90 eV/atom.